# 1
First-principles (GGA-PBE) data for La3TlS after structural relaxation, as listed in Alexandria.

## Properties
M_tot in μB/f.u.: 0.00
DOS(E_F) in states/eV/cell: 2.891
Excess energy over the best structure of this formula in the dataset in eV/atom: 0.045
Uncorrected formation energy in eV per formula unit: -4.579

a = 5.507 Å, b = 5.507 Å, c = 5.507 Å
α = 90.00°, β = 90.00°, γ = 90.00°
Sites, in units of the cell vectors:
La 0.000 0.000 0.500
La 0.000 0.500 0.000
La 0.500 0.000 0.000
Tl 0.500 0.500 0.500
S 0.000 0.000 0.000

# 2
First-principles (GGA-PBE) data for Dy5Tm after structural relaxation, as listed in Alexandria.

## Properties
M_tot in μB/f.u.: 0.00
DOS(E_F) in states/eV/cell: 7.838
ΔE_f in meV/atom: 19

a = 7.884 Å, b = 7.884 Å, c = 4.984 Å
α = 90.00°, β = 90.00°, γ = 143.15°
Sites, in units of the cell vectors:
Dy 0.000 0.000 0.000
Dy 0.166 0.834 0.500
Dy 0.334 0.666 0.000
Dy 0.666 0.334 0.000
Dy 0.834 0.166 0.500
Tm 0.500 0.500 0.500

# 3
First-principles (GGA-PBE) data for Ti2BeHBr after structural relaxation, as listed in Alexandria.

## Properties
M_tot in μB/f.u.: 0.00
DOS(E_F) in states/eV/cell: 3.847
Electronic total energy in eV per cell: -23.8

a = 4.522 Å, b = 4.522 Å, c = 3.091 Å
α = 90.00°, β = 90.00°, γ = 90.00°
Sites, in units of the cell vectors:
Ti 0.000 0.500 0.000
Ti 0.500 0.000 0.000
Be 0.000 0.000 0.500
H 0.000 0.000 0.000
Br 0.500 0.500 0.500

Question: Look up the DOS(E_F) of the second one.
Answer: 7.838 states/eV/cell